[1]
# RbLiDy2F8, relaxed, DFT PBE
data_RbLiDy2F8
_cell_length_a 4.266
_cell_length_b 6.326
_cell_length_c 7.334
_cell_angle_alpha 95.43
_cell_angle_beta 93.37
_cell_angle_gamma 90.11
_symmetry_space_group_name_H-M 'P -1'
_symmetry_Int_Tables_number 2
loop_
_symmetry_equiv_pos_as_xyz
'x,y,z'
'-x,-y,-z'
loop_
_atom_site_label
_atom_site_type_symbol
_atom_site_fract_x
_atom_site_fract_y
_atom_site_fract_z
Rb1 Rb 0.000 0.000 0.000
Li1 Li 0.000 0.000 0.500
Dy1 Dy 0.426 0.463 0.742
F1 F 0.068 0.431 0.233
F2 F 0.181 0.159 0.692
F3 F 0.382 0.694 0.526
F4 F 0.458 0.701 0.998
# Raw formation energy, meV per atom: -3690
# M_tot, μB per atom: 0.00
# Total energy, eV/cell: -71.331


[2]
# RbLiDyF6, relaxed, DFT PBE
data_RbLiDyF6
_cell_length_a 7.496
_cell_length_b 7.584
_cell_length_c 9.528
_cell_angle_alpha 90.00
_cell_angle_beta 90.00
_cell_angle_gamma 90.00
_symmetry_space_group_name_H-M 'I m m a'
_symmetry_Int_Tables_number 74
_symmetry_space_group_name_Hall '-I 2b 2'
loop_
_atom_site_label
_atom_site_type_symbol
_atom_site_fract_x
_atom_site_fract_y
_atom_site_fract_z
Rb1 Rb 0.000 0.250 0.081
Li1 Li 0.250 0.250 0.750
Dy1 Dy 0.000 0.000 0.500
F1 F 0.000 0.250 0.375
F2 F 0.000 0.250 0.651
F3 F 0.236 0.036 0.880
# Raw formation energy, meV per atom: -3080
# M_tot, μB per atom: 0.11
# Total energy, eV/cell: -185.737